A plane-wave DFT calculation with PBE was carried out for crystalline LaAl2Cr at its relaxed geometry.

Results
Its crystal system is trigonal. Its energy relative to the elements is -46 meV per atom.

a = 5.9789 Å, b = 5.9789 Å, c = 5.9789 Å
α = 43.75°, β = 43.75°, γ = 43.75°
Closest atoms and distances in Å follow each position.
Element x y z (fractional)
1 La 0.0000 0.0000 0.0000  4 Cr 3.20-3.38, 7 Al 3.25-3.46
2 Al 0.5234 0.5234 0.5234  3 Cr 2.58, 3 Al 2.74
3 Al 0.7992 0.7992 0.7992  3 Al 2.74, 3 Cr 2.78
4 Cr 0.1979 0.1979 0.1979  6 Al 2.58-2.78

---

A plane-wave DFT calculation with PBE was carried out for crystalline K2NiSnH6 at its relaxed geometry.

Results
For the total energy, the calculation gives -32.58 eV/cell. Its crystal system is monoclinic.

a = 5.6184 Å, b = 5.6184 Å, c = 5.6374 Å
α = 119.88°, β = 119.88°, γ = 89.96°
Closest atoms and distances in Å follow each position.
Element x y z (fractional)
1 K 0.2498 0.7502 0.0000  12 H 2.82-2.85
2 K 0.7502 0.2498 0.0000  12 H 2.82-2.85
3 Ni 0.0000 0.0000 0.5000  6 H 1.64-1.65
4 Sn 0.5000 0.5000 0.5000  6 H 2.33-2.36
5 H 0.2070 0.2070 0.9107  1 Ni 1.64
6 H 0.2072 0.7928 0.5000  1 Ni 1.65
7 H 0.2089 0.2089 0.5033  1 Ni 1.65
8 H 0.7911 0.7911 0.4967  1 Ni 1.65
9 H 0.7928 0.2072 0.5000  1 Ni 1.65
10 H 0.7930 0.7930 0.0893  1 Ni 1.64

---

A plane-wave DFT calculation with PBE was carried out for crystalline UBC at its relaxed geometry.

Results
Its crystal system is orthorhombic. The calculation puts the energy relative to the lowest polymorph listed for this composition at 65 meV/atom. Its energy relative to the elements is -385 meV per atom.

a = 5.0024 Å, b = 5.0024 Å, c = 5.0024 Å
α = 146.81°, β = 101.67°, γ = 87.75°
Closest atoms and distances in Å follow each position.
Element x y z (fractional)
1 U 0.2218 0.2218 0.0000  6 C 2.60-2.62, 6 B 2.64-2.73, 2 U 2.86
2 U 0.7782 0.7782 0.0000  6 C 2.60-2.62, 6 B 2.64-2.73, 2 U 2.86
3 B 0.3510 0.0000 0.3510  2 C 1.60
4 B 0.6490 0.0000 0.6490  2 C 1.60
5 C 0.2372 0.5000 0.7372  2 B 1.60
6 C 0.7628 0.5000 0.2628  2 B 1.60

---

A plane-wave DFT calculation with PBE was carried out for crystalline Ac2ErAlSe6 at its relaxed geometry.

Results
Its crystal system is monoclinic. The calculation puts the formation energy from raw total energies at -1.688 eV per atom.

a = 7.0236 Å, b = 7.6380 Å, c = 12.3358 Å
α = 90.00°, β = 124.11°, γ = 90.00°
Closest atoms and distances in Å follow each position.
Element x y z (fractional)
1 Ac 0.2138 0.0950 0.2468  7 Se 3.11-3.47
2 Ac 0.2138 0.4050 0.7468  7 Se 3.11-3.47
3 Ac 0.7862 0.5950 0.2532  7 Se 3.11-3.47
4 Ac 0.7862 0.9050 0.7532  7 Se 3.11-3.47
5 Er 0.5000 0.0000 0.0000  6 Se 2.78-2.86
6 Er 0.5000 0.5000 0.5000  6 Se 2.78-2.86
7 Al 0.0000 0.0000 0.5000  6 Se 2.55-2.66
8 Al 0.0000 0.5000 0.0000  6 Se 2.55-2.66
9 Se 0.1217 0.1993 0.9470  1 Al 2.66, 1 Er 2.80
10 Se 0.1217 0.3007 0.4470  1 Al 2.66, 1 Er 2.80
11 Se 0.2539 0.6789 0.9487  1 Al 2.59, 1 Er 2.86
12 Se 0.2539 0.8211 0.4487  1 Al 2.59, 1 Er 2.86
13 Se 0.3441 0.0190 0.7372  1 Al 2.55, 1 Er 2.78
14 Se 0.3441 0.4810 0.2372  1 Al 2.55, 1 Er 2.78
15 Se 0.6559 0.5190 0.7628  1 Al 2.55, 1 Er 2.78
16 Se 0.6559 0.9810 0.2628  1 Al 2.55, 1 Er 2.78
17 Se 0.7461 0.1789 0.5513  1 Al 2.59, 1 Er 2.86
18 Se 0.7461 0.3211 0.0513  1 Al 2.59, 1 Er 2.86
19 Se 0.8783 0.6993 0.5530  1 Al 2.66, 1 Er 2.80
20 Se 0.8783 0.8007 0.0530  1 Al 2.66, 1 Er 2.80

---

A plane-wave DFT calculation with PBE was carried out for crystalline LaPrDyTh2 at its relaxed geometry.

Results
Its crystal system is orthorhombic. Its energy relative to the elements is 349 meV per atom.

a = 8.6226 Å, b = 8.6226 Å, c = 6.7727 Å
α = 90.00°, β = 90.00°, γ = 133.95°
Closest atoms and distances in Å follow each position.
Element x y z (fractional)
1 La 0.2306 0.7694 0.7500  4 Pr 3.60-3.87, 4 Dy 3.61-3.86
2 La 0.7694 0.2306 0.2500  4 Pr 3.60-3.87, 4 Dy 3.61-3.86
3 Pr 0.3491 0.6509 0.2500  1 Dy 3.14, 4 Th 3.40
4 Pr 0.6509 0.3491 0.7500  1 Dy 3.14, 4 Th 3.40
5 Dy 0.1510 0.8490 0.2500  1 Pr 3.14, 4 Th 3.37
6 Dy 0.8490 0.1510 0.7500  1 Pr 3.14, 4 Th 3.37
7 Th 0.2455 0.2455 0.0000  4 Th 3.31-3.43, 2 Dy 3.37, 2 Pr 3.40
8 Th 0.2455 0.2455 0.5000  4 Th 3.31-3.43, 2 Dy 3.37, 2 Pr 3.40
9 Th 0.7545 0.7545 0.0000  4 Th 3.31-3.43, 2 Dy 3.37, 2 Pr 3.40
10 Th 0.7545 0.7545 0.5000  4 Th 3.31-3.43, 2 Dy 3.37, 2 Pr 3.40

---

A plane-wave DFT calculation with PBE was carried out for crystalline AcY2PuSe4 at its relaxed geometry.

Results
Its crystal system is monoclinic. The calculation puts the formation energy from raw total energies at -1.728 eV per atom.

a = 7.2581 Å, b = 4.1665 Å, c = 7.3490 Å
α = 90.00°, β = 108.99°, γ = 90.00°
Closest atoms and distances in Å follow each position.
Element x y z (fractional)
1 Ac 0.0000 0.0000 0.0000  6 Se 3.08
2 Y 0.0000 0.5000 0.5000  6 Se 2.95
3 Y 0.5000 0.0000 0.5000  6 Se 2.87
4 Pu 0.5000 0.5000 0.0000  6 Se 3.00-3.01
5 Se 0.2545 0.0000 0.7372  3 Y 2.87-2.95, 2 Pu 3.00, 1 Ac 3.08
6 Se 0.2656 0.5000 0.2702  3 Y 2.87-2.95, 1 Pu 3.01, 2 Ac 3.08
7 Se 0.7344 0.5000 0.7298  3 Y 2.87-2.95, 1 Pu 3.01, 2 Ac 3.08
8 Se 0.7455 0.0000 0.2628  3 Y 2.87-2.95, 2 Pu 3.00, 1 Ac 3.08

---

A plane-wave DFT calculation with PBE was carried out for crystalline RbTe2NO at its relaxed geometry.

Results
Its crystal system is tetragonal. The calculation puts the energy relative to the lowest polymorph listed for this composition at 0 meV/atom. The calculation puts the formation energy from raw total energies at 0.593 eV per atom.

a = 4.5821 Å, b = 4.5821 Å, c = 6.3712 Å
α = 90.00°, β = 90.00°, γ = 90.00°
Closest atoms and distances in Å follow each position.
Element x y z (fractional)
1 Rb 0.0000 0.0000 0.0000  4 N 3.24
2 Te 0.0000 0.5000 0.5000  2 O 2.29
3 Te 0.5000 0.0000 0.5000  2 O 2.29
4 N 0.5000 0.5000 0.0000  2 O 3.19, 4 Rb 3.24
5 O 0.5000 0.5000 0.5000  4 Te 2.29

---

A plane-wave DFT calculation with PBE was carried out for crystalline KZn2PbS at its relaxed geometry.

Results
Its crystal system is tetragonal. The calculation puts the formation energy from raw total energies at 0.124 eV per atom.

a = 4.9173 Å, b = 4.9173 Å, c = 5.6660 Å
α = 90.00°, β = 90.00°, γ = 90.00°
Closest atoms and distances in Å follow each position.
Element x y z (fractional)
1 K 0.0000 0.0000 0.0000  2 S 2.83
2 Zn 0.0000 0.5000 0.5000  2 S 2.46
3 Zn 0.5000 0.0000 0.5000  2 S 2.46
4 Pb 0.5000 0.5000 0.0000  4 K 3.48, 8 Zn 3.75
5 S 0.0000 0.0000 0.5000  4 Zn 2.46

---

A plane-wave DFT calculation with PBE was carried out for crystalline MnCrBPdAu at its relaxed geometry.

Results
Its crystal system is monoclinic. The calculation puts the energy relative to the lowest polymorph listed for this composition at 28 meV/atom. Its energy relative to the elements is 37 meV per atom.

a = 7.6436 Å, b = 7.6436 Å, c = 3.0746 Å
α = 90.09°, β = 90.09°, γ = 21.44°
Closest atoms and distances in Å follow each position.
Element x y z (fractional)
1 Mn 0.0000 0.0000 0.0000  4 B 2.12-2.13
2 Cr 0.1286 0.1286 0.4937  2 B 2.11
3 B 0.5245 0.5245 0.5015  2 Cr 2.11, 4 Mn 2.12-2.13, 1 Pd 2.17
4 Pd 0.3800 0.3800 0.4973  1 B 2.17
5 Au 0.7483 0.7483 0.9958  4 Cr 2.76, 4 Au 2.84-3.07, 4 Pd 2.88

---

A plane-wave DFT calculation with PBE was carried out for crystalline Zr2Cd3Hg at its relaxed geometry.

Results
Its crystal system is triclinic. Its energy relative to the elements is -83 meV per atom.

a = 5.9993 Å, b = 6.3065 Å, c = 7.8815 Å
α = 110.95°, β = 95.72°, γ = 105.53°
Closest atoms and distances in Å follow each position.
Element x y z (fractional)
1 Zr 0.1273 0.3546 0.3560  2 Hg 2.99-3.11, 8 Cd 3.06-3.24, 2 Zr 3.17-3.22
2 Zr 0.2333 0.6516 0.9786  2 Hg 3.06-3.10, 2 Zr 3.06-3.22, 8 Cd 3.07-3.25
3 Zr 0.7667 0.3484 0.0214  2 Hg 3.06-3.10, 2 Zr 3.06-3.22, 8 Cd 3.07-3.25
4 Zr 0.8727 0.6454 0.6440  2 Hg 2.99-3.11, 8 Cd 3.06-3.24, 2 Zr 3.17-3.22
5 Cd 0.1092 0.8382 0.3611  5 Zr 3.07-3.24, 3 Hg 3.07-3.21, 4 Cd 3.08-3.13
6 Cd 0.2073 0.1423 0.9616  4 Cd 2.91-3.22, 6 Zr 3.06-3.25, 1 Hg 3.08
7 Cd 0.4332 0.8373 0.6960  4 Cd 3.00-3.22, 5 Zr 3.07-3.25, 3 Hg 3.09-3.17
8 Cd 0.5668 0.1627 0.3040  4 Cd 3.00-3.22, 5 Zr 3.07-3.25, 3 Hg 3.09-3.17
9 Cd 0.7927 0.8577 0.0384  4 Cd 2.91-3.22, 6 Zr 3.06-3.25, 1 Hg 3.08
10 Cd 0.8908 0.1618 0.6389  5 Zr 3.07-3.24, 3 Hg 3.07-3.21, 4 Cd 3.08-3.13
11 Hg 0.4316 0.3295 0.6865  4 Zr 2.99-3.11, 7 Cd 3.07-3.21
12 Hg 0.5684 0.6705 0.3135  4 Zr 2.99-3.11, 7 Cd 3.07-3.21

---

Number 1: size of the total moment 3.9 μB/cell, D(E_F) 1.06 states/eV per atom. Number 2: size of the total moment 0.0 μB/cell, D(E_F) 0.36 states/eV per atom. Number 3: size of the total moment 0.0 μB/cell, D(E_F) 0.80 states/eV per atom. Number 4: size of the total moment 0.0 μB/cell, D(E_F) 0.00 states/eV per atom. Number 5: size of the total moment 0.0 μB/cell, D(E_F) 1.63 states/eV per atom. Number 6: size of the total moment 6.0 μB/cell, D(E_F) 1.34 states/eV per atom. Number 7: size of the total moment 2.8 μB/cell, D(E_F) 0.66 states/eV per atom. Number 8: size of the total moment 0.0 μB/cell, D(E_F) 0.68 states/eV per atom. Number 9: size of the total moment 0.2 μB/cell, D(E_F) 0.83 states/eV per atom. Number 10: size of the total moment 0.7 μB/cell, D(E_F) 0.79 states/eV per atom.